# Nd4Sm5Y2 (PBE-GGA, relaxed)
data_Nd4Sm5Y2
_space_group_name_H-M_alt 'I m m m'
_space_group_IT_number 71
_space_group_name_Hall '-I 2 2'
_cell_length_a 3.5433
_cell_length_b 9.3554
_cell_length_c 23.4637
_cell_angle_alpha 90.00
_cell_angle_beta 90.00
_cell_angle_gamma 90.00
loop_
_atom_site_label
_atom_site_fract_x
_atom_site_fract_y
_atom_site_fract_z
Nd1 0.0000 0.0000 0.0966
Nd2 0.0000 0.2985 0.5000
Sm1 0.0000 0.2005 0.3518
Sm2 0.0000 0.5000 0.0000
Y1 0.0000 0.0000 0.2303
# Energy of formation = 240 meV per atom
# Energy above the most stable polymorph in this dataset = 0.143 eV per atom